Li2TaIr2: relaxed, PBE.

## Properties
- Energy relative to the lowest polymorph listed for this composition: 0.009 eV/atom
- Formation energy from the elements: -0.16 eV per atom
- Crystal system: tetragonal

CIF file:
```
data_Li2TaIr2
_cell_length_a 6.7739
_cell_length_b 6.7739
_cell_length_c 2.9005
_cell_angle_alpha 90.00
_cell_angle_beta 90.00
_cell_angle_gamma 90.00
_space_group_name_H-M_alt 'P 1'
_space_group_IT_number 1
_space_group_name_Hall 'P 1'
loop_
_atom_site_label
_atom_site_type_symbol
_atom_site_fract_x
_atom_site_fract_y
_atom_site_fract_z
Ir1 Ir 0.1945 0.6945 0.5000
Ir2 Ir 0.6945 0.8055 0.5000
Ir3 Ir 0.8055 0.3055 0.5000
Ir4 Ir 0.3055 0.1945 0.5000
Li1 Li 0.3948 0.8948 0.0000
Li2 Li 0.8948 0.6052 0.0000
Li3 Li 0.6052 0.1052 0.0000
Li4 Li 0.1052 0.3948 0.0000
Ta1 Ta 0.0000 0.0000 0.0000
Ta2 Ta 0.5000 0.5000 0.0000
```


LiTaIr2: relaxed, PBE.

## Properties
- Energy relative to the lowest polymorph listed for this composition: 0.358 eV/atom
- Formation energy from the elements: -0.24 eV per atom
- Crystal system: trigonal

CIF file:
```
data_LiTaIr2
_cell_length_a 9.0659
_cell_length_b 9.0659
_cell_length_c 9.0659
_cell_angle_alpha 17.85
_cell_angle_beta 17.85
_cell_angle_gamma 17.85
_space_group_name_H-M_alt 'P 1'
_space_group_IT_number 1
_space_group_name_Hall 'P 1'
loop_
_atom_site_label
_atom_site_type_symbol
_atom_site_fract_x
_atom_site_fract_y
_atom_site_fract_z
Ir1 Ir 0.9999 0.9999 0.9999
Ir2 Ir 0.5001 0.5001 0.5001
Li1 Li 0.2500 0.2500 0.2500
Ta1 Ta 0.7500 0.7500 0.7500
```


LiTaIr2: relaxed, PBE.

## Properties
- Energy relative to the lowest polymorph listed for this composition: 0.464 eV/atom
- Formation energy from the elements: -0.13 eV per atom
- Crystal system: tetragonal

CIF file:
```
data_LiTaIr2
_cell_length_a 3.3124
_cell_length_b 3.3124
_cell_length_c 5.5043
_cell_angle_alpha 90.00
_cell_angle_beta 90.00
_cell_angle_gamma 90.00
_space_group_name_H-M_alt 'P 1'
_space_group_IT_number 1
_space_group_name_Hall 'P 1'
loop_
_atom_site_label
_atom_site_type_symbol
_atom_site_fract_x
_atom_site_fract_y
_atom_site_fract_z
Ir1 Ir 0.0000 0.0000 0.9730
Ir2 Ir 0.5000 0.5000 0.3046
Li1 Li 0.0000 0.0000 0.4698
Ta1 Ta 0.5000 0.5000 0.7526
```


LiTaIr2: relaxed, PBE.

## Properties
- Energy relative to the lowest polymorph listed for this composition: 0.353 eV/atom
- Formation energy from the elements: -0.25 eV per atom
- Crystal system: monoclinic

CIF file:
```
data_LiTaIr2
_cell_length_a 4.5146
_cell_length_b 4.5146
_cell_length_c 4.9747
_cell_angle_alpha 83.04
_cell_angle_beta 83.04
_cell_angle_gamma 36.07
_space_group_name_H-M_alt 'P 1'
_space_group_IT_number 1
_space_group_name_Hall 'P 1'
loop_
_atom_site_label
_atom_site_type_symbol
_atom_site_fract_x
_atom_site_fract_y
_atom_site_fract_z
Ir1 Ir 0.9996 0.9996 0.9830
Ir2 Ir 0.5004 0.5004 0.5170
Li1 Li 0.7500 0.7500 0.7500
Ta1 Ta 0.2500 0.2500 0.2500
```


Number 1: raw total energy -68.4 eV for the cell shown, Fermi-level density of states 2.5 states/eV/f.u.. Number 2: raw total energy -32.4 eV for the cell shown, Fermi-level density of states 4.2 states/eV/f.u.. Number 3: raw total energy -32.0 eV for the cell shown, Fermi-level density of states 2.0 states/eV/f.u.. Number 4: raw total energy -32.5 eV for the cell shown, Fermi-level density of states 3.1 states/eV/f.u..